(1)
The following is a PBE calculation of an optimized crystal structure of BaCo2Ir, from Alexandria via LeMat-Bulk.

```
BaCo2Ir
1.0
-0.489 3.863 -2.841
-3.622 -2.169 -2.326
-7.391 4.071 2.719
Ba Co Ir
2 4 2
Direct
0.500 0.500 0.000
0.250 0.750 0.500
0.875 0.625 0.250
0.875 0.125 0.250
0.375 0.125 0.750
0.875 0.125 0.750
0.000 0.000 0.000
0.750 0.250 0.500
```

- symmetry = I4_1/amd (141)
- ΔH_f (0 K) (eV/atom) = 0.432
- theoretical density (g/cm³) = 7.82
- DFT total energy (eV per atom) = -5.82

---

(2)
The following is a PBE calculation of an optimized crystal structure of BaCoIr2, from Alexandria via LeMat-Bulk.

```
BaCoIr2
1.0
-4.324 0.597 0.172
-2.696 -3.161 -1.349
-2.426 -3.002 4.824
Co Ir Ba
1 2 1
Direct
0.682 0.682 0.953
0.316 0.316 0.051
0.000 0.000 0.001
0.502 0.502 0.495
```

- symmetry = R3m (160)
- ΔH_f (0 K) (eV/atom) = -0.044
- theoretical density (g/cm³) = 10.34
- DFT total energy (eV per atom) = -6.73

---

(3)
The following is a PBE calculation of an optimized crystal structure of BaCoIr2, from Alexandria via LeMat-Bulk.

```
BaCoIr2
1.0
4.885 -0.001 0.000
0.715 4.833 0.000
-2.800 -2.416 3.192
Ir Ba Co
2 1 1
Direct
0.750 0.250 0.500
0.000 0.000 0.000
0.500 0.500 0.000
0.250 0.750 0.500
```

- symmetry = I-4m2 (119)
- ΔH_f (0 K) (eV/atom) = 0.950
- theoretical density (g/cm³) = 12.80
- DFT total energy (eV per atom) = -5.74

---

(4)
The following is a PBE calculation of an optimized crystal structure of Ba2Co2Ir, from Alexandria via LeMat-Bulk.

```
Ba2Co2Ir
1.0
-3.056 3.056 3.528
3.056 -3.056 3.528
3.056 3.056 -3.528
Ba Ir Co
2 1 2
Direct
0.250 0.750 0.500
0.750 0.250 0.500
0.000 0.000 0.000
0.656 0.656 0.000
0.344 0.344 0.000
```

- symmetry = I4/mmm (139)
- ΔH_f (0 K) (eV/atom) = 0.568
- theoretical density (g/cm³) = 7.37
- DFT total energy (eV per atom) = -4.82

---

(5)
The following is a PBE calculation of an optimized crystal structure of BaCo2Ir, from Alexandria via LeMat-Bulk.

```
BaCo2Ir
1.0
-3.284 1.275 -3.523
0.615 -3.366 -3.622
-0.749 -0.733 4.871
Ba Ir Co
1 1 2
Direct
0.750 0.250 0.500
0.500 0.500 0.000
0.250 0.750 0.500
0.000 0.000 0.000
```

- symmetry = I-4m2 (119)
- ΔH_f (0 K) (eV/atom) = 0.998
- theoretical density (g/cm³) = 10.22
- DFT total energy (eV per atom) = -5.25

---

(6)
The following is a PBE calculation of an optimized crystal structure of BaCo2Ir, from Alexandria via LeMat-Bulk.

```
BaCo2Ir
1.0
5.642 0.034 -0.001
2.353 5.128 0.001
-3.184 -3.842 2.634
Co Ir Ba
2 1 1
Direct
0.946 0.946 0.000
0.759 0.259 0.500
0.547 0.547 0.000
0.247 0.747 0.500
```

- symmetry = Imm2 (44)
- ΔH_f (0 K) (eV/atom) = 0.749
- theoretical density (g/cm³) = 9.77
- DFT total energy (eV per atom) = -5.50

---

(7)
The following is a PBE calculation of an optimized crystal structure of BaCoIr2, from Alexandria via LeMat-Bulk.

```
BaCoIr2
1.0
4.549 0.000 0.000
0.000 4.079 0.000
0.000 0.000 4.079
Ir Co Ba
2 1 1
Direct
0.000 0.000 0.000
0.000 0.500 0.500
0.500 0.000 0.500
0.500 0.500 0.000
```

- symmetry = P4/mmm (123)
- ΔH_f (0 K) (eV/atom) = 0.951
- theoretical density (g/cm³) = 12.74
- DFT total energy (eV per atom) = -5.74

---

(8)
The following is a PBE calculation of an optimized crystal structure of BaCoIr2, from Alexandria via LeMat-Bulk.

```
BaCoIr2
1.0
0.148 -5.911 0.134
5.288 -2.591 0.550
-4.324 3.423 2.135
Ir Co Ba
2 1 1
Direct
0.006 0.006 0.000
0.791 0.291 0.500
0.204 0.704 0.500
0.498 0.498 0.000
```

- symmetry = Imm2 (44)
- ΔH_f (0 K) (eV/atom) = 0.741
- theoretical density (g/cm³) = 11.96
- DFT total energy (eV per atom) = -5.95